An optimized crystal structure of AsRhS2Cl. Source: Alexandria via LeMat-Bulk, functional GGA-PBE.

Unit cell a=4.6646 b=4.6646 c=4.6216 alpha=90.00 beta=90.00 gamma=90.00
Closest atoms and distances in Å follow each position.
Fractional coordinates of all 5 atoms:
As 0.0000 0.0000 0.0000  8 S 3.28, 4 Cl 3.30
Rh 0.5000 0.5000 0.5000  2 Cl 2.31, 4 S 2.33
S 0.0000 0.5000 0.5000  2 Rh 2.33
S 0.5000 0.0000 0.5000  2 Rh 2.33
Cl 0.5000 0.5000 0.0000  2 Rh 2.31

The value obtained for the total energy is -4.005 eV per atom. Its symmetry is P4/mmm.

An optimized crystal structure of Fe3RhI9. Source: Alexandria via LeMat-Bulk, functional GGA-PBE.

Unit cell a=10.7233 b=10.7233 c=13.8351 alpha=122.93 beta=122.93 gamma=55.06
Closest atoms and distances in Å follow each position.
Fractional coordinates of all 26 atoms:
Fe 0.0453 0.9547 0.5000  4 I 2.56-2.64
Fe 0.2762 0.5107 0.5934  4 I 2.56-2.62
Fe 0.5107 0.2762 0.0934  4 I 2.56-2.62
Fe 0.5649 0.7122 0.4530  4 I 2.58-2.64
Fe 0.7122 0.5649 0.9530  4 I 2.58-2.64
Fe 0.9547 0.0453 0.0000  4 I 2.56-2.64
Rh 0.0437 0.4869 0.7758  6 I 2.73-2.80
Rh 0.4869 0.0437 0.2758  6 I 2.73-2.80
I 0.0139 0.7338 0.5057  2 Fe 2.62
I 0.0532 0.7735 0.8383  1 Fe 2.56, 1 Rh 2.75
I 0.0631 0.1807 0.7087  1 Fe 2.56, 1 Rh 2.79
I 0.1651 0.3545 0.5954  1 Fe 2.57, 1 Rh 2.74
I 0.1807 0.0631 0.2087  1 Fe 2.56, 1 Rh 2.79
I 0.2538 0.7861 0.3833  2 Fe 2.64
I 0.3545 0.1651 0.0954  1 Fe 2.57, 1 Rh 2.74
I 0.3551 0.4100 0.9318  1 Fe 2.56, 1 Rh 2.73
I 0.4100 0.3551 0.4318  1 Fe 2.56, 1 Rh 2.73
I 0.4462 0.6782 0.7833  2 Fe 2.62-2.64
I 0.5758 0.9596 0.4708  1 Fe 2.59, 1 Rh 2.80
I 0.6135 0.7198 0.1368  1 Fe 2.58, 1 Rh 2.79
I 0.6782 0.4462 0.2833  2 Fe 2.62-2.64
I 0.7198 0.6135 0.6368  1 Fe 2.58, 1 Rh 2.79
I 0.7338 0.0139 0.0057  2 Fe 2.62
I 0.7735 0.0532 0.3383  1 Fe 2.56, 1 Rh 2.75
I 0.7861 0.2538 0.8833  2 Fe 2.64
I 0.9596 0.5758 0.9708  1 Fe 2.59, 1 Rh 2.80

The value obtained for the total energy is -3.671 eV per atom. Its symmetry is Cc.

An optimized crystal structure of Co2NiSe. Source: Alexandria via LeMat-Bulk, functional GGA-PBE.

Unit cell a=2.9388 b=3.2880 c=5.1817 alpha=90.00 beta=90.00 gamma=90.00
Closest atoms and distances in Å follow each position.
Fractional coordinates of all 4 atoms:
Co 0.0000 0.0000 0.0000  2 Ni 2.46-2.73, 4 Co 2.47, 4 Se 2.66
Co 0.5000 0.5000 0.2163  4 Co 2.47, 4 Ni 2.58, 2 Se 2.58-2.60
Ni 0.0000 0.0000 0.4738  6 Co 2.46-2.73, 4 Se 2.53
Se 0.5000 0.5000 0.7146  4 Ni 2.53, 6 Co 2.58-2.66

The value obtained for the total energy is -5.671 eV per atom. Its symmetry is Pmm2.

An optimized crystal structure of ZnCuPd4. Source: Alexandria via LeMat-Bulk, functional GGA-PBE.

Unit cell a=7.1674 b=7.1674 c=7.1674 alpha=131.78 beta=131.78 gamma=70.58
Closest atoms and distances in Å follow each position.
Fractional coordinates of all 12 atoms:
Zn 0.3750 0.6250 0.7500  8 Pd 2.54
Zn 0.6250 0.3750 0.2500  8 Pd 2.54
Cu 0.1250 0.8750 0.2500  8 Pd 2.53
Cu 0.8750 0.1250 0.7500  8 Pd 2.53
Pd 0.0000 0.2489 0.2489  2 Cu 2.53, 2 Zn 2.54
Pd 0.0000 0.7511 0.7511  2 Cu 2.53, 2 Zn 2.54
Pd 0.2489 0.0000 0.7489  2 Cu 2.53, 2 Zn 2.54
Pd 0.2489 0.5000 0.2489  2 Cu 2.53, 2 Zn 2.54
Pd 0.5000 0.2489 0.7489  2 Cu 2.53, 2 Zn 2.54
Pd 0.5000 0.7511 0.2511  2 Cu 2.53, 2 Zn 2.54
Pd 0.7511 0.0000 0.2511  2 Cu 2.53, 2 Zn 2.54
Pd 0.7511 0.5000 0.7511  2 Cu 2.53, 2 Zn 2.54

The formation energy comes out at 0.18 eV/f.u. Its symmetry is I4_1/amd.

An optimized crystal structure of CeAl6Ag6. Source: Alexandria via LeMat-Bulk, functional GGA-PBE.

Unit cell a=7.1326 b=7.1326 c=7.1326 alpha=135.65 beta=99.91 gamma=96.48
Closest atoms and distances in Å follow each position.
Fractional coordinates of all 13 atoms:
Ce 0.0000 0.0000 0.0000  8 Ag 3.14-3.31, 4 Al 3.40
Al 0.0000 0.0000 0.5000  4 Al 2.69-2.74, 6 Ag 2.70-2.86
Al 0.0000 0.5000 0.0000  4 Al 2.69-2.74, 6 Ag 2.70-2.86
Al 0.2264 0.5000 0.7264  4 Al 2.74, 6 Ag 2.82-2.89
Al 0.5000 0.0000 0.0000  4 Al 2.69-2.74, 6 Ag 2.70-2.86
Al 0.5000 0.5000 0.5000  4 Al 2.69-2.74, 6 Ag 2.70-2.86
Al 0.7736 0.5000 0.2736  4 Al 2.74, 6 Ag 2.82-2.89
Ag 0.2010 0.7010 0.5000  6 Al 2.70-2.82
Ag 0.3418 0.0000 0.3418  6 Al 2.86-2.89, 3 Ag 2.90-3.19, 1 Ce 3.14
Ag 0.3484 0.3484 0.0000  6 Al 2.82-2.89, 3 Ag 2.88-3.03
Ag 0.6516 0.6516 0.0000  6 Al 2.82-2.89, 3 Ag 2.88-3.03
Ag 0.6582 0.0000 0.6582  6 Al 2.86-2.89, 3 Ag 2.90-3.19, 1 Ce 3.14
Ag 0.7990 0.2990 0.5000  6 Al 2.70-2.82

The formation energy comes out at -2.20 eV/f.u. Its symmetry is Immm.

An optimized crystal structure of NaGe2RuPt. Source: Alexandria via LeMat-Bulk, functional GGA-PBE.

Unit cell a=4.1793 b=4.1793 c=10.5242 alpha=90.00 beta=90.00 gamma=90.00
Closest atoms and distances in Å follow each position.
Fractional coordinates of all 10 atoms:
Na 0.0000 0.0000 0.0000  8 Ge 3.23, 4 Ru 3.36, 4 Pt 3.36
Na 0.5000 0.5000 0.5000  8 Ge 3.23, 4 Ru 3.36, 4 Pt 3.36
Ge 0.0000 0.0000 0.3760  2 Ru 2.47, 2 Pt 2.47, 1 Ge 2.61
Ge 0.0000 0.0000 0.6240  2 Ru 2.47, 2 Pt 2.47, 1 Ge 2.61
Ge 0.5000 0.5000 0.1240  2 Ru 2.47, 2 Pt 2.47, 1 Ge 2.61
Ge 0.5000 0.5000 0.8760  2 Ru 2.47, 2 Pt 2.47, 1 Ge 2.61
Ru 0.0000 0.5000 0.2500  4 Ge 2.47
Ru 0.5000 0.0000 0.7500  4 Ge 2.47
Pt 0.0000 0.5000 0.7500  4 Ge 2.47
Pt 0.5000 0.0000 0.2500  4 Ge 2.47

The formation energy comes out at -1.92 eV/f.u. Its symmetry is I-4m2.

An optimized crystal structure of Ca3Zn2Cd. Source: Alexandria via LeMat-Bulk, functional GGA-PBE.

Unit cell a=5.3231 b=15.8875 c=3.6962 alpha=90.00 beta=90.00 gamma=90.00
Closest atoms and distances in Å follow each position.
Fractional coordinates of all 12 atoms:
Ca 0.0000 0.0000 0.0000  4 Zn 3.19, 4 Cd 3.24
Ca 0.0000 0.3283 0.0000  6 Zn 3.20-3.24, 2 Cd 3.30
Ca 0.0000 0.6717 0.0000  6 Zn 3.20-3.24, 2 Cd 3.30
Ca 0.5000 0.1717 0.0000  6 Zn 3.20-3.24, 2 Cd 3.30
Ca 0.5000 0.5000 0.0000  4 Zn 3.19, 4 Cd 3.24
Ca 0.5000 0.8283 0.0000  6 Zn 3.20-3.24, 2 Cd 3.30
Zn 0.0000 0.1635 0.5000  8 Ca 3.19-3.24
Zn 0.0000 0.8365 0.5000  8 Ca 3.19-3.24
Zn 0.5000 0.3365 0.5000  8 Ca 3.19-3.24
Zn 0.5000 0.6635 0.5000  8 Ca 3.19-3.24
Cd 0.0000 0.5000 0.5000  8 Ca 3.24-3.30
Cd 0.5000 0.0000 0.5000  8 Ca 3.24-3.30

The formation energy comes out at -1.62 eV/f.u. Its symmetry is Cmmm.

An optimized crystal structure of LaCrCl2. Source: Alexandria via LeMat-Bulk, functional GGA-PBE.

Unit cell a=9.7414 b=3.7047 c=5.4845 alpha=90.00 beta=91.74 gamma=90.00
Closest atoms and distances in Å follow each position.
Fractional coordinates of all 8 atoms:
La 0.0000 0.0000 0.0000  6 Cl 2.98-3.23, 4 Cr 3.31
La 0.5000 0.5000 0.0000  6 Cl 2.98-3.23, 4 Cr 3.31
Cr 0.0000 0.5000 0.5000  2 Cl 2.33
Cr 0.5000 0.0000 0.5000  2 Cl 2.33
Cl 0.1937 0.5000 0.7587  1 Cr 2.33
Cl 0.3063 0.0000 0.2413  1 Cr 2.33
Cl 0.6937 0.0000 0.7587  1 Cr 2.33
Cl 0.8063 0.5000 0.2413  1 Cr 2.33

The value obtained for the total energy is -5.444 eV per atom. Its symmetry is C2/m.

An optimized crystal structure of AgSb2Se4. Source: Alexandria via LeMat-Bulk, functional GGA-PBE.

Unit cell a=6.8281 b=6.8281 c=13.8982 alpha=90.00 beta=90.00 gamma=145.92
Closest atoms and distances in Å follow each position.
Fractional coordinates of all 14 atoms:
Ag 0.0988 0.9012 0.7500  2 Se 2.68
Ag 0.9012 0.0988 0.2500  2 Se 2.68
Sb 0.3629 0.6371 0.5713  6 Se 2.80-2.95
Sb 0.3629 0.6371 0.9287  6 Se 2.80-2.95
Sb 0.6371 0.3629 0.0713  6 Se 2.80-2.95
Sb 0.6371 0.3629 0.4287  6 Se 2.80-2.95
Se 0.0000 0.0000 0.0000  4 Sb 2.86
Se 0.0000 0.0000 0.5000  4 Sb 2.86
Se 0.2767 0.7233 0.1252  3 Sb 2.81-2.95, 2 Ag 3.11
Se 0.2767 0.7233 0.3748  3 Sb 2.81-2.95, 2 Ag 3.11
Se 0.4625 0.5375 0.7500  2 Ag 2.68, 2 Sb 2.80
Se 0.5375 0.4625 0.2500  2 Ag 2.68, 2 Sb 2.80
Se 0.7233 0.2767 0.6252  3 Sb 2.81-2.95, 2 Ag 3.11
Se 0.7233 0.2767 0.8748  3 Sb 2.81-2.95, 2 Ag 3.11

The value obtained for the total energy is -3.696 eV per atom. Its symmetry is Cmcm.

An optimized crystal structure of K3NpBr8. Source: Alexandria via LeMat-Bulk, functional GGA-PBE.

Unit cell a=9.2179 b=9.2179 c=9.2179 alpha=131.26 beta=131.26 gamma=71.40
Closest atoms and distances in Å follow each position.
Fractional coordinates of all 12 atoms:
K 0.0000 0.0000 0.0000  8 Br 3.43
K 0.2500 0.7500 0.5000  8 Br 3.40
K 0.7500 0.2500 0.5000  8 Br 3.40
Np 0.5000 0.5000 0.0000  8 Br 2.93
Br 0.1646 0.1646 0.5551  1 Np 2.93
Br 0.1646 0.6095 0.0000  1 Np 2.93
Br 0.3905 0.3905 0.5551  1 Np 2.93
Br 0.3905 0.8354 0.0000  1 Np 2.93
Br 0.6095 0.1646 0.0000  1 Np 2.93
Br 0.6095 0.6095 0.4449  1 Np 2.93
Br 0.8354 0.3905 0.0000  1 Np 2.93
Br 0.8354 0.8354 0.4449  1 Np 2.93

The value obtained for the total energy is -3.787 eV per atom. Its symmetry is I4/mmm.

Calculated spin magnetization, 0.00; 24.01; 3.26; 0.00; 0.94; 0.00; 0.00; 6.65; 0.00; 2.15 Bohr magnetons per cell (same order as the records).